Material: HfCoPO
Method: DFT, PBE+U
State: optimized geometry

- magnetic moment (μB/f.u.) = 2.00
- mass density (g/cm³) = 8.0
- energy above the lowest structure with this stoichiometry (eV/f.u.) = 0.80

a b c (Å): 4.1547 5.3160 5.3254
angles (deg): 90.00 90.00 90.00
Sites, in units of the cell vectors:
1 Hf 0.0000 0.2381 0.0000
2 Hf 0.0000 0.7619 0.5000
3 Co 0.5000 0.1334 0.6331
4 Co 0.5000 0.8666 0.1331
5 P 0.0000 0.2595 0.5030
6 P 0.0000 0.7405 0.0030
7 O 0.5000 0.2452 0.0139
8 O 0.5000 0.7548 0.5139